Record 1
A plane-wave DFT calculation with PBE was carried out for a relaxed Zr7Ni10 crystal.

The calculation puts the energy of formation at -0.45 eV per atom. The spin magnetization comes out at 0.00 μB per atom. The calculated density is 7.8 Mg/m³.

It has space group Pbca (No. 61), with a = 9.155 Å, b = 9.160 Å, c = 12.382 Å, α = 90.00°, β = 90.00° and γ = 90.00°. The distinct sites, in fractional coordinates, are Zr at (0.000, 0.000, 0.000), Zr at (0.000, 0.000, 0.308), Zr at (0.186, 0.187, 0.498), Zr at (0.247, 0.249, 0.247), Ni at (0.006, 0.707, 0.646), Ni at (0.012, 0.708, 0.356), Ni at (0.106, 0.605, 0.001), Ni at (0.207, 0.007, 0.144) and Ni at (0.209, 0.008, 0.854).



Record 2
A plane-wave DFT calculation with PBE was carried out for a relaxed NbGa crystal.

The spin magnetization comes out at 0.00 μB per atom. The calculated density is 5.5 Mg/m³. As for the total energy: -41.980 eV per cell.

It has space group F-43m (No. 216), with a = 5.829 Å, b = 5.829 Å, c = 5.829 Å, α = 90.00°, β = 90.00° and γ = 90.00°. The distinct sites, in fractional coordinates, are Nb at (0.000, 0.000, 0.000) and Ga at (0.250, 0.250, 0.250).



Record 3
A plane-wave DFT calculation with PBE was carried out for a relaxed CoN crystal.

The spin magnetization comes out at 0.05 μB per atom. As for the energy above the most stable polymorph in this dataset: 11.782 kcal/mol of atoms. The calculated density is 5.2 Mg/m³.

It has space group Pmma (No. 51), with a = 5.199 Å, b = 2.785 Å, c = 6.481 Å, α = 90.00°, β = 90.00° and γ = 90.00°. The distinct sites, in fractional coordinates, are Co at (0.000, 0.000, 0.000), Co at (0.250, 0.500, 0.281), N at (0.250, 0.000, 0.426) and N at (0.250, 0.500, 0.999).



Record 4
A plane-wave DFT calculation with PBE was carried out for a relaxed BeCu2Si crystal.

The calculated density is 6.0 Mg/m³. As for the total energy: -63.871 eV per cell.

It has space group F-43m (No. 216), with a = 5.662 Å, b = 5.662 Å, c = 5.662 Å, α = 90.00°, β = 90.00° and γ = 90.00°. The distinct sites, in fractional coordinates, are Be at (0.000, 0.000, 0.000), Cu at (0.000, 0.000, 0.500), Cu at (0.250, 0.250, 0.250) and Si at (0.250, 0.250, 0.750).